Entry 1:
Li11Ag9Au4 after structural relaxation, computed with PBE-GGA.

Structure (POSCAR):
```
Li11Ag9Au4
1.0
3.041 0.000 0.000
0.000 10.939 -4.919
0.000 -0.225 11.992
Ag Li Au
9 11 4
Cartesian
1.521 1.511 6.742
1.521 8.554 7.632
1.521 3.921 8.333
1.521 10.380 4.867
1.521 2.160 -0.560
1.521 9.203 0.331
1.521 0.334 2.206
1.521 5.357 3.536
1.521 6.793 -1.260
0.000 4.420 -1.361
0.000 7.915 5.225
0.000 6.861 1.258
0.000 0.000 0.000
0.000 10.228 2.473
0.000 1.684 9.101
0.000 6.294 8.433
0.000 0.486 4.599
0.000 2.799 1.848
0.000 9.030 -2.028
0.000 3.853 5.815
1.521 2.568 4.026
1.521 4.711 0.779
1.521 6.003 6.293
1.521 8.146 3.046
```

Properties
The symmetry is Cmmm. The density of states at the Fermi level comes out at 6.3 states/eV/cell. The density comes out at 7.70 g/cm³. As for the crystal system: orthorhombic. For the magnetic moment, the calculation gives 0.00 μB per formula unit. The value obtained for the energy of formation from the pure elements is -0.2780 eV per atom.



Entry 2:
HgOs2Pt after structural relaxation, computed with PBE-GGA.

Structure (POSCAR):
```
HgOs2Pt
1.0
-4.063 0.861 -2.569
-0.733 -3.678 -3.127
0.873 0.050 4.804
Os Pt Hg
2 1 1
Cartesian
-1.129 -2.519 -0.585
0.000 0.000 0.000
-2.398 -1.409 -2.848
-2.794 -0.249 -0.306
```

Properties
The symmetry is I-4m2. The density of states at the Fermi level comes out at 4.4 states/eV/cell. The density comes out at 20.23 g/cm³. As for the crystal system: tetragonal. For the magnetic moment, the calculation gives 0.00 μB per formula unit. The value obtained for the energy of formation from the pure elements is 0.6627 eV per atom.



Entry 3:
LiPm4Ni after structural relaxation, computed with PBE-GGA.

Structure (POSCAR):
```
LiPm4Ni
1.0
-5.398 -2.866 0.333
6.104 -5.914 1.189
-0.547 5.528 5.897
Li Ni Pm
2 2 8
Cartesian
-1.497 0.149 5.144
1.656 -3.400 2.275
-4.050 -2.144 0.278
4.209 -1.107 7.140
1.875 -0.059 5.911
-3.241 -0.252 2.472
0.399 -0.343 2.593
-0.240 -2.908 4.826
3.401 -2.999 4.947
-1.715 -3.193 1.508
0.495 3.432 5.274
-0.335 -6.684 2.145
```

Properties
The symmetry is C2/c. The density of states at the Fermi level comes out at 14.2 states/eV/cell. The density comes out at 6.33 g/cm³. As for the crystal system: monoclinic. For the magnetic moment, the calculation gives 0.00 μB per formula unit. The value obtained for the energy of formation from the pure elements is -0.0014 eV per atom.



Entry 4:
Tl6ZnHg12 after structural relaxation, computed with PBE-GGA.

Structure (POSCAR):
```
Tl6ZnHg12
1.0
-7.718 4.176 -0.860
-1.057 -6.322 6.054
5.820 5.799 3.199
Hg Tl Zn
12 6 1
Cartesian
0.299 3.360 1.381
2.210 -1.592 7.980
-3.335 0.275 1.445
0.834 -0.912 3.429
-3.061 -4.171 5.253
-3.254 0.293 7.012
-7.550 0.239 3.748
0.381 3.378 6.949
-5.165 5.245 0.414
-3.789 4.566 4.965
0.106 7.825 3.141
4.595 3.414 4.646
-2.403 -1.227 4.219
-0.020 0.093 6.446
-4.650 1.482 4.212
1.695 2.172 4.182
-2.935 3.560 1.948
-0.551 4.881 4.175
0.000 0.000 0.000
```

Properties
The symmetry is R-3. The density of states at the Fermi level comes out at 7.5 states/eV/cell. The density comes out at 10.93 g/cm³. As for the crystal system: trigonal. For the magnetic moment, the calculation gives 0.00 μB per formula unit. The value obtained for the energy of formation from the pure elements is 0.0356 eV per atom.



Entry 5:
Er5CSe5 after structural relaxation, computed with PBE-GGA.

Structure (POSCAR):
```
Er5CSe5
1.0
-1.974 -5.098 -1.233
6.274 -0.036 2.841
-5.194 0.593 5.863
Se Er C
5 5 1
Cartesian
-2.597 0.296 2.932
-0.849 -3.264 2.119
-3.539 -2.911 4.964
2.644 -1.630 2.507
-0.045 -1.277 5.352
-0.002 -0.589 2.435
-2.847 -0.258 5.624
1.953 -4.283 1.847
-0.893 -3.953 5.036
-0.987 -2.549 -0.617
0.000 0.000 0.000
```

Properties
Its total energy is -0.4473 Ry/atom. The symmetry is C2/m. The density of states at the Fermi level comes out at 2.8 states/eV/cell. The density comes out at 7.87 g/cm³. As for the crystal system: monoclinic. For the magnetic moment, the calculation gives 0.00 μB per formula unit.



Entry 6:
YLuFe after structural relaxation, computed with PBE-GGA.

Structure (POSCAR):
```
YLuFe
1.0
3.304 0.000 0.000
0.000 3.304 0.000
-1.652 -1.652 6.292
Lu Fe Y
1 1 1
Cartesian
0.000 0.000 3.669
1.652 1.652 2.137
0.000 0.000 0.486
```

Properties
The symmetry is I4mm. The density of states at the Fermi level comes out at 1.6 states/eV/cell. The density comes out at 7.73 g/cm³. As for the crystal system: tetragonal. For the magnetic moment, the calculation gives 0.00 μB per formula unit. The value obtained for the energy of formation from the pure elements is 0.0203 eV per atom.



Entry 7:
Ac2Ga3Ir after structural relaxation, computed with PBE-GGA.

Structure (POSCAR):
```
Ac2Ga3Ir
1.0
-3.857 -0.827 -4.921
-1.233 -5.864 1.966
-3.334 5.979 5.643
Ga Ir Ac
6 2 4
Cartesian
-6.416 -1.612 1.265
-2.008 0.899 1.423
-2.890 -4.160 0.962
-4.217 0.920 5.183
-5.534 3.447 1.727
-4.207 -1.632 -2.494
-4.471 -2.483 -0.113
-3.954 1.771 2.802
-4.868 0.903 -0.378
-3.556 -1.616 3.066
-3.726 -4.898 -2.163
-1.364 -1.793 -0.792
```

Properties
Its energy above the lowest structure with this stoichiometry is 0.008 eV per atom. The symmetry is Fmmm. The density of states at the Fermi level comes out at 10.5 states/eV/cell. The density comes out at 9.31 g/cm³. As for the crystal system: orthorhombic. For the magnetic moment, the calculation gives 0.00 μB per formula unit. The value obtained for the energy of formation from the pure elements is -0.6341 eV per atom.



Entry 8:
AcTc2P2 after structural relaxation, computed with PBE-GGA.

Structure (POSCAR):
```
AcTc2P2
1.0
3.932 0.000 -1.469
-0.549 3.894 -1.469
0.066 0.076 6.174
Ac P Tc
1 2 2
Cartesian
0.000 0.000 0.000
2.219 2.554 -0.057
1.230 1.416 3.293
2.845 1.012 1.618
0.604 2.958 1.618
```

Properties
The symmetry is I4/mmm. The density of states at the Fermi level comes out at 3.1 states/eV/cell. The density comes out at 8.44 g/cm³. As for the crystal system: tetragonal. For the magnetic moment, the calculation gives 0.00 μB per formula unit. The value obtained for the energy of formation from the pure elements is -0.8781 eV per atom.



Entry 9:
Nd2NiP3Ir4 after structural relaxation, computed with PBE-GGA.

Structure (POSCAR):
```
Nd2NiP3Ir4
1.0
4.130 0.000 0.000
0.000 4.130 0.000
0.000 0.000 9.821
Ni Nd Ir P
1 2 4 3
Cartesian
2.065 2.065 4.910
0.000 2.065 7.283
2.065 0.000 2.538
2.065 2.065 0.000
0.000 2.065 3.664
0.000 0.000 0.000
2.065 0.000 6.157
0.000 0.000 4.910
2.065 0.000 8.461
0.000 2.065 1.360
```

Properties
The symmetry is P-4m2. The density of states at the Fermi level comes out at 5.5 states/eV/cell. The density comes out at 11.98 g/cm³. As for the crystal system: tetragonal. For the magnetic moment, the calculation gives 0.00 μB per formula unit. The value obtained for the energy of formation from the pure elements is -0.8759 eV per atom.



Entry 10:
MnGePHCN after structural relaxation, computed with PBE-GGA.

Structure (POSCAR):
```
MnGePHCN
1.0
4.773 0.000 0.000
0.000 3.983 0.000
-1.846 0.000 7.396
P N C Ge H Mn
2 2 2 2 2 2
Cartesian
0.855 1.991 4.015
1.778 0.000 0.317
0.641 1.991 2.220
-0.282 0.000 5.917
3.297 0.000 5.475
4.220 1.991 1.777
2.609 0.000 2.808
1.686 1.991 6.506
0.373 0.000 0.581
-0.550 1.991 4.279
1.600 0.000 4.994
2.523 1.991 1.296
```

Properties
Its energy above the lowest structure with this stoichiometry is 0.144 eV per atom. The symmetry is Cm. The density comes out at 4.38 g/cm³. As for the crystal system: monoclinic. For the magnetic moment, the calculation gives 0.00 μB per formula unit.



Entry 11:
SmFeTcGe2 after structural relaxation, computed with PBE-GGA.

Structure (POSCAR):
```
SmFeTcGe2
1.0
4.065 0.000 0.000
0.000 4.065 0.000
-2.032 -2.032 5.417
Fe Tc Ge Sm
1 1 2 1
Cartesian
2.032 0.000 2.708
0.000 2.032 2.708
0.000 0.000 4.104
2.032 2.032 1.312
0.000 0.000 0.000
```

Properties
The symmetry is I-4m2. The density of states at the Fermi level comes out at 4.5 states/eV/cell. The density comes out at 8.34 g/cm³. As for the crystal system: tetragonal. For the magnetic moment, the calculation gives 2.44 μB per formula unit. The value obtained for the energy of formation from the pure elements is -0.4455 eV per atom.



Entry 12:
TlReSe2 after structural relaxation, computed with PBE-GGA.

Structure (POSCAR):
```
TlReSe2
1.0
-1.335 -1.885 -2.055
0.678 -2.430 1.788
-8.062 0.956 4.358
Se Re Tl
2 1 1
Cartesian
-7.398 0.877 3.999
-4.696 0.557 2.538
-6.375 -1.440 3.135
-2.344 -1.918 0.956
```

Properties
Its energy above the lowest structure with this stoichiometry is 0.114 eV per atom. The symmetry is P4/mmm. The density of states at the Fermi level comes out at 3.3 states/eV/cell. The density comes out at 10.34 g/cm³. As for the crystal system: tetragonal. For the magnetic moment, the calculation gives 0.00 μB per formula unit.